## CrIrN2O (PBE+U)

Data for crystalline CrIrN2O at its relaxed geometry.

Output
N(E_F) in states/eV/atom: 0.455
Uncorrected energy in eV/cell: -32.529

a = 3.771 Å, b = 3.771 Å, c = 4.291 Å
α = 90.00°, β = 90.00°, γ = 90.00°
Space group P4/mmm (No. 123)
Inequivalent atoms, fractional coordinates:
Cr (0.000, 0.000, 0.000) x1
Ir (0.500, 0.500, 0.500) x1
N (0.000, 0.500, 0.500) x2
O (0.500, 0.500, 0.000) x1